1.
Material: YTe2MoN
Method: DFT, PBE
State: relaxed

a b c (Å): 5.525 5.525 3.842
angles (deg): 90.00 90.00 90.00
Each line ends with the local moment (μB).
Sites, in units of the cell vectors:
Mo 0.000 0.000 0.000  0.47
Y 0.500 0.500 0.500  -0.01
Te 0.500 0.000 0.000  0.00
Te 0.000 0.500 0.000  0.00
N 0.000 0.000 0.500  -0.04

DOS(E_F)   1.74 states/eV/f.u.
Offset from the most stable computed form   0 meV/atom
Uncorrected formation energy   -0.2940 eV/atom

***

2.
Material: Tb3Dy
Method: DFT, PBE
State: relaxed

a b c (Å): 6.154 6.154 6.155
angles (deg): 131.97 131.97 70.25
Sites, in units of the cell vectors:
Dy 0.000 0.000 0.000
Tb 0.250 0.750 0.500
Tb 0.500 0.500 0.000
Tb 0.750 0.250 0.500

DOS(E_F)   4.92 states/eV/f.u.
Offset from the most stable computed form   2 meV/atom
Formation enthalpy at 0 K   0.01 eV/atom

***

3.
Material: Mo2AsRh
Method: DFT, PBE
State: relaxed

a b c (Å): 3.199 3.199 6.068
angles (deg): 90.00 90.00 90.00
Sites, in units of the cell vectors:
Mo 0.000 0.000 0.992
Mo 0.500 0.500 0.252
As 0.500 0.500 0.763
Rh 0.000 0.000 0.493

DOS(E_F)   3.55 states/eV/f.u.
Formation enthalpy at 0 K   0.02 eV/atom

***

4.
Material: YPuSc2
Method: DFT, PBE
State: relaxed

a b c (Å): 5.338 5.338 5.338
angles (deg): 60.00 60.00 60.00
Each line ends with the local moment (μB).
Sites, in units of the cell vectors:
Pu 0.000 0.000 0.000  5.33
Sc 0.250 0.250 0.250  0.06
Sc 0.750 0.750 0.750  0.06
Y 0.500 0.500 0.500  -0.04

DOS(E_F)   7.52 states/eV/f.u.
Offset from the most stable computed form   45 meV/atom
Formation enthalpy at 0 K   0.15 eV/atom

***

5.
Material: Pm3HoAg3
Method: DFT, PBE
State: relaxed

a b c (Å): 7.405 7.405 7.141
angles (deg): 90.88 90.88 94.35
Sites, in units of the cell vectors:
Pm 0.730 0.270 0.000
Pm 0.638 0.638 0.368
Pm 0.178 0.822 0.500
Pm 0.362 0.362 0.632
Pm 0.270 0.730 0.000
Pm 0.822 0.178 0.500
Ag 0.512 0.007 0.271
Ag 0.068 0.068 0.822
Ag 0.932 0.932 0.178
Ag 0.993 0.488 0.729
Ag 0.007 0.512 0.271
Ag 0.488 0.993 0.729
Ho 0.746 0.746 0.863
Ho 0.254 0.254 0.137

DOS(E_F)   5.88 states/eV/f.u.
Formation enthalpy at 0 K   -0.12 eV/atom

***

6.
Material: Tb3ThNi
Method: DFT, PBE
State: relaxed

a b c (Å): 5.303 5.303 5.303
angles (deg): 90.00 90.00 90.00
Sites, in units of the cell vectors:
Th 0.500 0.500 0.500
Tb 0.000 0.000 0.500
Tb 0.000 0.500 0.000
Tb 0.500 0.000 0.000
Ni 0.000 0.000 0.000

DOS(E_F)   7.86 states/eV/f.u.
Formation enthalpy at 0 K   0.02 eV/atom

***

7.
Material: Y2Ru
Method: DFT, PBE
State: relaxed

a b c (Å): 4.001 4.001 6.152
angles (deg): 90.00 90.00 120.00
Sites, in units of the cell vectors:
Y 0.333 0.667 0.240
Y 0.667 0.333 0.760
Ru 0.000 0.000 0.000

DOS(E_F)   1.02 states/eV/f.u.
Formation enthalpy at 0 K   -0.09 eV/atom

***

8.
Material: Ca6NdTe8
Method: DFT, PBE
State: relaxed

a b c (Å): 9.017 9.017 9.017
angles (deg): 60.00 60.00 60.00
Sites, in units of the cell vectors:
Te 0.750 0.750 0.750
Te 0.750 0.250 0.250
Te 0.250 0.750 0.750
Te 0.750 0.750 0.250
Te 0.250 0.250 0.750
Te 0.250 0.250 0.250
Te 0.750 0.250 0.750
Te 0.250 0.750 0.250
Ca 0.500 0.000 0.000
Ca 0.000 0.000 0.500
Ca 0.000 0.500 0.500
Ca 0.500 0.500 0.000
Ca 0.000 0.500 0.000
Ca 0.500 0.000 0.500
Nd 0.000 0.000 0.000

DOS(E_F)   6.69 states/eV/f.u.
Uncorrected formation energy   -1.5060 eV/atom

***

9.
Material: Tm4Cr
Method: DFT, PBE
State: relaxed

a b c (Å): 5.257 5.257 5.257
angles (deg): 90.00 90.00 90.00
Each line ends with the local moment (μB).
Sites, in units of the cell vectors:
Tm 0.500 0.500 0.000  -0.01
Tm 0.000 0.000 0.000  -0.13
Tm 0.500 0.000 0.500  -0.01
Tm 0.000 0.500 0.500  -0.01
Cr 0.500 0.500 0.500  1.77

DOS(E_F)   6.70 states/eV/f.u.
Formation enthalpy at 0 K   0.39 eV/atom

***

10.
Material: CePrY2Ho
Method: DFT, PBE
State: relaxed

a b c (Å): 7.416 7.695 5.867
angles (deg): 89.98 90.00 90.00
Each line ends with the local moment (μB).
Sites, in units of the cell vectors:
Ho 0.621 0.000 0.250  0.09
Ho 0.379 0.000 0.750  0.09
Pr 0.840 0.500 0.250  0.00
Pr 0.160 0.500 0.750  0.00
Y 0.672 0.287 0.750  0.03
Y 0.328 0.287 0.250  0.03
Y 0.328 0.713 0.250  0.03
Y 0.672 0.713 0.750  0.03
Ce 0.000 0.000 0.500  1.01
Ce 0.000 0.000 0.000  1.01

DOS(E_F)   10.27 states/eV/f.u.
Formation enthalpy at 0 K   0.28 eV/atom

***

11.
Material: Sc2TiCr
Method: DFT, PBE
State: relaxed

a b c (Å): 4.700 4.700 4.700
angles (deg): 60.00 60.00 60.00
Sites, in units of the cell vectors:
Cr 0.500 0.500 0.500
Sc 0.750 0.750 0.750
Sc 0.250 0.250 0.250
Ti 0.000 0.000 0.000

DOS(E_F)   6.61 states/eV/f.u.
Offset from the most stable computed form   0 meV/atom
Formation enthalpy at 0 K   0.43 eV/atom

***

12.
Material: HoTh2Te6
Method: DFT, PBE
State: relaxed

a b c (Å): 7.351 7.351 13.696
angles (deg): 90.00 90.00 90.00
Sites, in units of the cell vectors:
Te 0.799 0.201 0.338
Te 0.201 0.799 0.662
Te 0.799 0.201 0.662
Te 0.299 0.299 0.162
Te 0.701 0.701 0.838
Te 0.299 0.299 0.838
Te 0.203 0.797 0.000
Te 0.297 0.297 0.500
Te 0.201 0.799 0.338
Te 0.701 0.701 0.162
Te 0.797 0.203 0.000
Te 0.703 0.703 0.500
Th 0.000 0.000 0.832
Th 0.500 0.500 0.332
Th 0.000 0.000 0.168
Th 0.500 0.500 0.668
Ho 0.000 0.000 0.500
Ho 0.500 0.500 0.000

DOS(E_F)   6.14 states/eV/f.u.
Uncorrected formation energy   -1.0151 eV/atom

***

13.
Material: RbTaAsBr2
Method: DFT, PBE
State: relaxed

a b c (Å): 6.078 6.078 6.230
angles (deg): 90.00 90.00 90.00
Each line ends with the local moment (μB).
Sites, in units of the cell vectors:
Ta 0.500 0.500 0.500  2.38
Rb 0.000 0.000 0.000  -0.05
As 0.000 0.000 0.500  -1.09
Br 0.500 0.000 0.000  -0.08
Br 0.000 0.500 0.000  -0.08

DOS(E_F)   5.94 states/eV/f.u.
Offset from the most stable computed form   1930 meV/atom
Uncorrected formation energy   1.4063 eV/atom

***

14.
Material: NdPuTl2S4
Method: DFT, PBE
State: relaxed

a b c (Å): 4.139 7.176 7.845
angles (deg): 107.76 90.00 90.00
Each line ends with the local moment (μB).
Sites, in units of the cell vectors:
S 0.500 0.225 0.197  -0.07
S 0.500 0.775 0.803  -0.07
S 0.000 0.739 0.203  -0.03
S 0.000 0.261 0.797  -0.03
Nd 0.500 0.500 0.000  0.03
Tl 0.500 0.000 0.500  0.00
Tl 0.000 0.500 0.500  -0.01
Pu 0.000 0.000 0.000  5.02

DOS(E_F)   10.71 states/eV/f.u.
Uncorrected formation energy   -1.3190 eV/atom

***

15.
Material: Nd2HfSe2N2
Method: DFT, PBE
State: relaxed

a b c (Å): 4.244 4.244 8.194
angles (deg): 105.01 105.01 90.00
Sites, in units of the cell vectors:
Se 0.180 0.180 0.359
Se 0.820 0.820 0.641
Nd 0.612 0.612 0.224
Nd 0.388 0.388 0.776
N 0.000 0.500 0.000
N 0.500 0.000 0.000
Hf 0.000 0.000 0.000

Uncorrected formation energy   -1.7132 eV/atom

***

16.
Material: CaSi2Tc
Method: DFT, PBE
State: relaxed

a b c (Å): 3.815 7.460 10.276
angles (deg): 90.00 90.00 90.00
Sites, in units of the cell vectors:
Si 0.750 0.296 0.072
Si 0.250 0.704 0.928
Si 0.250 0.204 0.572
Si 0.250 0.669 0.309
Si 0.750 0.831 0.809
Si 0.250 0.169 0.191
Si 0.750 0.796 0.428
Si 0.750 0.331 0.691
Ca 0.750 0.362 0.373
Ca 0.250 0.138 0.873
Ca 0.250 0.638 0.627
Ca 0.750 0.862 0.127
Tc 0.250 0.495 0.109
Tc 0.750 0.505 0.891
Tc 0.750 0.005 0.609
Tc 0.250 0.995 0.391

DOS(E_F)   2.12 states/eV/f.u.
Offset from the most stable computed form   0 meV/atom
Uncorrected formation energy   -0.4556 eV/atom

***

17.
Material: Fe2Ni3Pd
Method: DFT, PBE
State: relaxed

a b c (Å): 6.127 6.127 4.038
angles (deg): 89.98 89.98 103.35
Each line ends with the local moment (μB).
Sites, in units of the cell vectors:
Pd 0.085 0.915 0.750  0.30
Pd 0.915 0.085 0.250  0.30
Fe 0.643 0.001 0.750  2.92
Fe 0.001 0.643 0.250  2.92
Fe 0.357 0.999 0.250  2.92
Fe 0.999 0.357 0.750  2.92
Ni 0.592 0.731 0.250  0.75
Ni 0.344 0.656 0.750  0.74
Ni 0.731 0.592 0.750  0.75
Ni 0.656 0.344 0.250  0.74
Ni 0.408 0.269 0.750  0.75
Ni 0.269 0.408 0.250  0.75

DOS(E_F)   5.17 states/eV/f.u.
Offset from the most stable computed form   0 meV/atom
Formation enthalpy at 0 K   0.04 eV/atom

***

18.
Material: PrCu4Ir
Method: DFT, PBE
State: relaxed

a b c (Å): 5.059 5.059 5.059
angles (deg): 60.00 60.00 60.00
Sites, in units of the cell vectors:
Cu 0.130 0.623 0.623
Cu 0.623 0.623 0.130
Cu 0.623 0.623 0.623
Cu 0.623 0.130 0.623
Ir 0.250 0.250 0.250
Pr 0.000 0.000 0.000

DOS(E_F)   2.98 states/eV/f.u.
Formation enthalpy at 0 K   -0.12 eV/atom

***

19.
Material: Mg2AsRu
Method: DFT, PBE
State: relaxed

a b c (Å): 5.471 5.471 5.471
angles (deg): 145.16 130.81 61.69
Sites, in units of the cell vectors:
Mg 0.270 0.770 0.500
Mg 0.985 0.985 0.000
Ru 0.526 0.526 0.000
As 0.718 0.218 0.500

DOS(E_F)   3.25 states/eV/f.u.
Formation enthalpy at 0 K   -0.20 eV/atom

***

20.
Material: La4Ag2Ru
Method: DFT, PBE
State: relaxed

a b c (Å): 5.392 5.392 8.695
angles (deg): 108.06 108.06 90.00
Sites, in units of the cell vectors:
Ru 0.000 0.000 0.000
La 0.184 0.184 0.368
La 0.500 0.000 0.000
La 0.816 0.816 0.632
La 0.000 0.500 0.000
Ag 0.622 0.622 0.244
Ag 0.378 0.378 0.756

DOS(E_F)   10.52 states/eV/f.u.
Offset from the most stable computed form   106 meV/atom
Formation enthalpy at 0 K   -0.13 eV/atom